Crystalline Ca2Ge4PtRh3 at its relaxed geometry, computed with PBE.

Geometry as CIF:
```
data_Ca2Ge4PtRh3
_symmetry_space_group_name_H-M 'P -4 m 2'
_symmetry_Int_Tables_number 115
_symmetry_space_group_name_Hall 'P -4 -2'
_cell_length_a 4.194
_cell_length_b 4.194
_cell_length_c 10.463
_cell_angle_alpha 90.00
_cell_angle_beta 90.00
_cell_angle_gamma 90.00
loop_
_atom_site_label
_atom_site_type_symbol
_atom_site_fract_x
_atom_site_fract_y
_atom_site_fract_z
_atom_site_occupancy
Ca1 Ca 0.000 0.500 0.246 1
Ge1 Ge 0.000 0.000 0.000 1
Ge2 Ge 0.000 0.500 0.635 1
Ge3 Ge 0.500 0.500 0.000 1
Pt1 Pt 0.000 0.000 0.500 1
Rh1 Rh 0.000 0.500 0.871 1
Rh2 Rh 0.500 0.500 0.500 1
```

Calculated values
magnetic moment: 0.000 μB/atom
uncorrected energy: -5.80 eV per atom
volume: 184.0 Å³ per cell
calculated density: 7.89 Mg/m³
formation energy: -0.74 eV/atom

Crystalline Sr3TiNb at its relaxed geometry, computed with PBE.

Geometry as CIF:
```
data_Sr3TiNb
_symmetry_space_group_name_H-M 'P m -3 m'
_symmetry_Int_Tables_number 221
_symmetry_space_group_name_Hall '-P 4 2 3'
_cell_length_a 5.868
_cell_length_b 5.868
_cell_length_c 5.868
_cell_angle_alpha 90.00
_cell_angle_beta 90.00
_cell_angle_gamma 90.00
loop_
_atom_site_label
_atom_site_type_symbol
_atom_site_fract_x
_atom_site_fract_y
_atom_site_fract_z
_atom_site_occupancy
Sr1 Sr 0.000 0.000 0.500 1
Ti1 Ti 0.500 0.500 0.500 1
Nb1 Nb 0.000 0.000 0.000 1
```

Calculated values
magnetic moment: 0.498 μB/atom
uncorrected energy: -3.26 eV per atom
volume: 202.0 Å³ per cell
calculated density: 3.32 Mg/m³
formation energy: 1.34 eV/atom